*1*
DFT (PBE) results for PaTaHg after structural relaxation.

Geometry as CIF:
```
data_PaTaHg
_chemical_formula_sum 'Pa1 Ta1 Hg1'
_symmetry_space_group_name_H-M 'P 1'
_symmetry_Int_Tables_number 1
_symmetry_space_group_name_Hall 'P 1'
_cell_length_a 4.861
_cell_length_b 4.861
_cell_length_c 4.861
_cell_angle_alpha 60.00
_cell_angle_beta 60.00
_cell_angle_gamma 60.00
loop_
_atom_site_label
_atom_site_type_symbol
_atom_site_fract_x
_atom_site_fract_y
_atom_site_fract_z
Pa1 Pa 0.000 0.000 0.000
Ta1 Ta 0.250 0.250 0.250
Hg1 Hg 0.750 0.750 0.750
```

Values from the calculation:
M_tot in μB per atom: 0.4045



*2*
DFT (PBE) results for PaTaHg after structural relaxation.

Geometry as CIF:
```
data_PaTaHg
_chemical_formula_sum 'Pa1 Ta1 Hg1'
_symmetry_space_group_name_H-M 'P 1'
_symmetry_Int_Tables_number 1
_symmetry_space_group_name_Hall 'P 1'
_cell_length_a 4.748
_cell_length_b 4.748
_cell_length_c 4.748
_cell_angle_alpha 60.00
_cell_angle_beta 60.00
_cell_angle_gamma 60.00
loop_
_atom_site_label
_atom_site_type_symbol
_atom_site_fract_x
_atom_site_fract_y
_atom_site_fract_z
Pa1 Pa 0.000 0.000 0.000
Ta1 Ta 0.250 0.250 0.250
Hg1 Hg 0.500 0.500 0.500
```

Values from the calculation:
M_tot in μB per atom: 0.0008



Most stable to least stable, the ends of the list are *2* and *1*.



*1*
DFT (PBE) results for PaHgW after structural relaxation.

Geometry as CIF:
```
data_PaHgW
_chemical_formula_sum 'Pa1 Hg1 W1'
_symmetry_space_group_name_H-M 'P 1'
_symmetry_Int_Tables_number 1
_symmetry_space_group_name_Hall 'P 1'
_cell_length_a 4.791
_cell_length_b 4.791
_cell_length_c 4.791
_cell_angle_alpha 60.00
_cell_angle_beta 60.00
_cell_angle_gamma 60.00
loop_
_atom_site_label
_atom_site_type_symbol
_atom_site_fract_x
_atom_site_fract_y
_atom_site_fract_z
Pa1 Pa 0.000 0.000 0.000
Hg1 Hg 0.750 0.750 0.750
W1 W 0.250 0.250 0.250
```

Values from the calculation:
M_tot in μB per atom: 0.0128



*2*
DFT (PBE) results for PaHgW after structural relaxation.

Geometry as CIF:
```
data_PaHgW
_chemical_formula_sum 'Pa1 Hg1 W1'
_symmetry_space_group_name_H-M 'P 1'
_symmetry_Int_Tables_number 1
_symmetry_space_group_name_Hall 'P 1'
_cell_length_a 4.698
_cell_length_b 4.698
_cell_length_c 4.698
_cell_angle_alpha 60.00
_cell_angle_beta 60.00
_cell_angle_gamma 60.00
loop_
_atom_site_label
_atom_site_type_symbol
_atom_site_fract_x
_atom_site_fract_y
_atom_site_fract_z
Pa1 Pa 0.000 0.000 0.000
Hg1 Hg 0.500 0.500 0.500
W1 W 0.750 0.750 0.750
```

Values from the calculation:
M_tot in μB per atom: 0.0073



Most stable to least stable, the ends of the list are *2* and *1*.



*1*
DFT (PBE) results for RbHgPb after structural relaxation.

Geometry as CIF:
```
data_RbHgPb
_chemical_formula_sum 'Rb1 Hg1 Pb1'
_symmetry_space_group_name_H-M 'P 1'
_symmetry_Int_Tables_number 1
_symmetry_space_group_name_Hall 'P 1'
_cell_length_a 5.745
_cell_length_b 5.745
_cell_length_c 5.745
_cell_angle_alpha 60.00
_cell_angle_beta 60.00
_cell_angle_gamma 60.00
loop_
_atom_site_label
_atom_site_type_symbol
_atom_site_fract_x
_atom_site_fract_y
_atom_site_fract_z
Rb1 Rb 0.000 0.000 0.000
Hg1 Hg 0.750 0.750 0.750
Pb1 Pb 0.250 0.250 0.250
```



*2*
DFT (PBE) results for RbHgPb after structural relaxation.

Geometry as CIF:
```
data_RbHgPb
_chemical_formula_sum 'Rb1 Hg1 Pb1'
_symmetry_space_group_name_H-M 'P 1'
_symmetry_Int_Tables_number 1
_symmetry_space_group_name_Hall 'P 1'
_cell_length_a 5.510
_cell_length_b 5.510
_cell_length_c 5.510
_cell_angle_alpha 60.00
_cell_angle_beta 60.00
_cell_angle_gamma 60.00
loop_
_atom_site_label
_atom_site_type_symbol
_atom_site_fract_x
_atom_site_fract_y
_atom_site_fract_z
Rb1 Rb 0.000 0.000 0.000
Hg1 Hg 0.750 0.750 0.750
Pb1 Pb 0.500 0.500 0.500
```



Most stable to least stable, the ends of the list are *2* and *1*.



*1*
DFT (PBE) results for ZnHgPbS3 after structural relaxation.

Geometry as CIF:
```
data_ZnHgPbS3
_chemical_formula_sum 'Zn2 Hg2 Pb2 S6'
_symmetry_space_group_name_H-M 'P 1'
_symmetry_Int_Tables_number 1
_symmetry_space_group_name_Hall 'P 1'
_cell_length_a 6.791
_cell_length_b 6.791
_cell_length_c 11.193
_cell_angle_alpha 90.00
_cell_angle_beta 90.00
_cell_angle_gamma 146.83
loop_
_atom_site_label
_atom_site_type_symbol
_atom_site_fract_x
_atom_site_fract_y
_atom_site_fract_z
Zn1 Zn 0.014 0.986 0.750
Zn2 Zn 0.986 0.014 0.250
Hg1 Hg 0.500 0.500 0.000
Hg2 Hg 0.500 0.500 0.500
Pb1 Pb 0.267 0.733 0.250
Pb2 Pb 0.733 0.267 0.750
S1 S 0.126 0.874 0.584
S2 S 0.126 0.874 0.916
S3 S 0.408 0.592 0.750
S4 S 0.592 0.408 0.250
S5 S 0.874 0.126 0.084
S6 S 0.874 0.126 0.416
```



*2*
DFT (PBE) results for ZnHgPbS3 after structural relaxation.

Geometry as CIF:
```
data_ZnHgPbS3
_chemical_formula_sum 'Zn2 Hg2 Pb2 S6'
_symmetry_space_group_name_H-M 'P 1'
_symmetry_Int_Tables_number 1
_symmetry_space_group_name_Hall 'P 1'
_cell_length_a 7.817
_cell_length_b 7.817
_cell_length_c 10.335
_cell_angle_alpha 90.00
_cell_angle_beta 90.00
_cell_angle_gamma 151.71
loop_
_atom_site_label
_atom_site_type_symbol
_atom_site_fract_x
_atom_site_fract_y
_atom_site_fract_z
Zn1 Zn 0.000 0.000 0.000
Zn2 Zn 0.000 0.000 0.500
Hg1 Hg 0.368 0.632 0.750
Hg2 Hg 0.632 0.368 0.250
Pb1 Pb 0.330 0.670 0.250
Pb2 Pb 0.670 0.330 0.750
S1 S 0.047 0.953 0.750
S2 S 0.390 0.610 0.523
S3 S 0.390 0.610 0.977
S4 S 0.610 0.390 0.023
S5 S 0.610 0.390 0.477
S6 S 0.953 0.047 0.250
```



Most stable to least stable, the ends of the list are *1* and *2*.



*1*
DFT (PBE) results for ZrHgPb after structural relaxation.

Geometry as CIF:
```
data_ZrHgPb
_chemical_formula_sum 'Zr1 Hg1 Pb1'
_symmetry_space_group_name_H-M 'P 1'
_symmetry_Int_Tables_number 1
_symmetry_space_group_name_Hall 'P 1'
_cell_length_a 4.877
_cell_length_b 4.877
_cell_length_c 4.877
_cell_angle_alpha 60.00
_cell_angle_beta 60.00
_cell_angle_gamma 60.00
loop_
_atom_site_label
_atom_site_type_symbol
_atom_site_fract_x
_atom_site_fract_y
_atom_site_fract_z
Zr1 Zr 0.000 0.000 0.000
Hg1 Hg 0.750 0.750 0.750
Pb1 Pb 0.500 0.500 0.500
```

Values from the calculation:
M_tot in μB per atom: 0.0108



*2*
DFT (PBE) results for ZrHgPb after structural relaxation.

Geometry as CIF:
```
data_ZrHgPb
_chemical_formula_sum 'Zr1 Hg1 Pb1'
_symmetry_space_group_name_H-M 'P 1'
_symmetry_Int_Tables_number 1
_symmetry_space_group_name_Hall 'P 1'
_cell_length_a 4.926
_cell_length_b 4.926
_cell_length_c 4.926
_cell_angle_alpha 60.00
_cell_angle_beta 60.00
_cell_angle_gamma 60.00
loop_
_atom_site_label
_atom_site_type_symbol
_atom_site_fract_x
_atom_site_fract_y
_atom_site_fract_z
Zr1 Zr 0.000 0.000 0.000
Hg1 Hg 0.750 0.750 0.750
Pb1 Pb 0.250 0.250 0.250
```

Values from the calculation:
M_tot in μB per atom: 0.0004



Most stable to least stable, the ends of the list are *2* and *1*.



*1*
DFT (PBE) results for HgPd15 after structural relaxation.

Geometry as CIF:
```
data_HgPd15
_chemical_formula_sum 'Hg4 Pd60'
_symmetry_space_group_name_H-M 'P 1'
_symmetry_Int_Tables_number 1
_symmetry_space_group_name_Hall 'P 1'
_cell_length_a 7.819
_cell_length_b 43.107
_cell_length_c 3.922
_cell_angle_alpha 90.00
_cell_angle_beta 90.00
_cell_angle_gamma 90.00
loop_
_atom_site_label
_atom_site_type_symbol
_atom_site_fract_x
_atom_site_fract_y
_atom_site_fract_z
Hg1 Hg 0.143 0.148 0.000
Hg2 Hg 0.143 0.852 0.500
Hg3 Hg 0.857 0.148 0.500
Hg4 Hg 0.857 0.852 0.000
Pd1 Pd 0.122 0.200 0.500
Pd2 Pd 0.122 0.248 0.000
Pd3 Pd 0.122 0.752 0.500
Pd4 Pd 0.122 0.800 0.000
Pd5 Pd 0.125 0.294 0.500
Pd6 Pd 0.125 0.340 0.000
Pd7 Pd 0.125 0.386 0.500
Pd8 Pd 0.125 0.431 0.000
Pd9 Pd 0.125 0.477 0.500
Pd10 Pd 0.125 0.523 0.000
Pd11 Pd 0.125 0.569 0.500
Pd12 Pd 0.125 0.614 0.000
Pd13 Pd 0.125 0.660 0.500
Pd14 Pd 0.125 0.706 0.000
Pd15 Pd 0.372 0.203 0.000
Pd16 Pd 0.372 0.797 0.500
Pd17 Pd 0.373 0.248 0.500
Pd18 Pd 0.373 0.752 0.000
Pd19 Pd 0.375 0.294 0.000
Pd20 Pd 0.375 0.340 0.500
Pd21 Pd 0.375 0.386 0.000
Pd22 Pd 0.375 0.431 0.500
Pd23 Pd 0.375 0.477 0.000
Pd24 Pd 0.375 0.523 0.500
Pd25 Pd 0.375 0.569 0.000
Pd26 Pd 0.375 0.614 0.500
Pd27 Pd 0.375 0.660 0.000
Pd28 Pd 0.375 0.706 0.500
Pd29 Pd 0.382 0.156 0.500
Pd30 Pd 0.382 0.844 0.000
Pd31 Pd 0.618 0.156 0.000
Pd32 Pd 0.618 0.844 0.500
Pd33 Pd 0.625 0.294 0.500
Pd34 Pd 0.625 0.340 0.000
Pd35 Pd 0.625 0.386 0.500
Pd36 Pd 0.625 0.431 0.000
Pd37 Pd 0.625 0.477 0.500
Pd38 Pd 0.625 0.523 0.000
Pd39 Pd 0.625 0.569 0.500
Pd40 Pd 0.625 0.614 0.000
Pd41 Pd 0.625 0.660 0.500
Pd42 Pd 0.625 0.706 0.000
Pd43 Pd 0.627 0.248 0.000
Pd44 Pd 0.627 0.752 0.500
Pd45 Pd 0.628 0.203 0.500
Pd46 Pd 0.628 0.797 0.000
Pd47 Pd 0.875 0.294 0.000
Pd48 Pd 0.875 0.340 0.500
Pd49 Pd 0.875 0.386 0.000
Pd50 Pd 0.875 0.431 0.500
Pd51 Pd 0.875 0.477 0.000
Pd52 Pd 0.875 0.523 0.500
Pd53 Pd 0.875 0.569 0.000
Pd54 Pd 0.875 0.614 0.500
Pd55 Pd 0.875 0.660 0.000
Pd56 Pd 0.875 0.706 0.500
Pd57 Pd 0.878 0.200 0.000
Pd58 Pd 0.878 0.248 0.500
Pd59 Pd 0.878 0.752 0.000
Pd60 Pd 0.878 0.800 0.500
```



*2*
DFT (PBE) results for HgPd15 after structural relaxation.

Geometry as CIF:
```
data_HgPd15
_chemical_formula_sum 'Hg2 Pd30'
_symmetry_space_group_name_H-M 'P 1'
_symmetry_Int_Tables_number 1
_symmetry_space_group_name_Hall 'P 1'
_cell_length_a 4.757
_cell_length_b 34.626
_cell_length_c 4.756
_cell_angle_alpha 90.00
_cell_angle_beta 108.76
_cell_angle_gamma 90.00
loop_
_atom_site_label
_atom_site_type_symbol
_atom_site_fract_x
_atom_site_fract_y
_atom_site_fract_z
Hg1 Hg 0.000 0.187 0.250
Hg2 Hg 0.000 0.813 0.750
Pd1 Pd 0.000 0.233 0.750
Pd2 Pd 0.000 0.275 0.250
Pd3 Pd 0.000 0.316 0.750
Pd4 Pd 0.000 0.357 0.250
Pd5 Pd 0.000 0.398 0.750
Pd6 Pd 0.000 0.439 0.250
Pd7 Pd 0.000 0.480 0.750
Pd8 Pd 0.000 0.520 0.250
Pd9 Pd 0.000 0.561 0.750
Pd10 Pd 0.000 0.602 0.250
Pd11 Pd 0.000 0.643 0.750
Pd12 Pd 0.000 0.684 0.250
Pd13 Pd 0.000 0.725 0.750
Pd14 Pd 0.000 0.767 0.250
Pd15 Pd 0.500 0.194 0.750
Pd16 Pd 0.500 0.233 0.250
Pd17 Pd 0.500 0.275 0.750
Pd18 Pd 0.500 0.316 0.250
Pd19 Pd 0.500 0.357 0.750
Pd20 Pd 0.500 0.398 0.250
Pd21 Pd 0.500 0.439 0.750
Pd22 Pd 0.500 0.480 0.250
Pd23 Pd 0.500 0.520 0.750
Pd24 Pd 0.500 0.561 0.250
Pd25 Pd 0.500 0.602 0.750
Pd26 Pd 0.500 0.643 0.250
Pd27 Pd 0.500 0.684 0.750
Pd28 Pd 0.500 0.725 0.250
Pd29 Pd 0.500 0.767 0.750
Pd30 Pd 0.500 0.806 0.250
```



Most stable to least stable, the ends of the list are *1* and *2*.